First-principles (GGA-PBE) data for a relaxed structure of Pm3YTm2Se6, as listed in the Alexandria database.

Cell and atoms, written as POSCAR:
```
Pm3YTm2Se6
1.0
9.0297 -2.0381 0.0000
9.0297 2.0381 0.0000
-2.1431 0.0000 8.0562
Pm Y Tm Se
3 1 2 6
direct
0.0000 0.0000 0.0000
0.3352 0.3352 0.6672
0.6648 0.6648 0.3328
0.0000 0.0000 0.5000
0.3341 0.3341 0.1680
0.6659 0.6659 0.8320
0.1654 0.1654 0.5944
0.1708 0.1708 0.0735
0.4955 0.4955 0.2547
0.5045 0.5045 0.7453
0.8292 0.8292 0.9265
0.8346 0.8346 0.4056
```

Properties
The formation energy (no corrections) is -1.772 eV/atom. Its space group is C2/m.